No. 1
! Th2Ga4Ni3Pt PBE optimized geometry; values from VASP
! crystal system: tetragonal
&SYSTEM
  ibrav = 0, nat = 10, ntyp = 4
/
ATOMIC_SPECIES
Th 232.04 Th.upf
Ga 69.72 Ga.upf
Ni 58.69 Ni.upf
Pt 195.08 Pt.upf
CELL_PARAMETERS angstrom
4.180 0.000 0.000
0.000 4.180 0.000
0.000 0.000 10.122
ATOMIC_POSITIONS angstrom
Th 0.000 2.090 2.473
Th 2.090 0.000 7.649
Ga 0.000 0.000 0.000
Ga 0.000 2.090 6.443
Ga 2.090 0.000 3.679
Ga 2.090 2.090 0.000
Ni 0.000 2.090 8.810
Ni 2.090 0.000 1.312
Ni 2.090 2.090 5.061
Pt 0.000 0.000 5.061

=====

No. 2
! TiGa2Ni7Pt2 PBE optimized geometry; values from VASP
! crystal system: orthorhombic
&SYSTEM
  ibrav = 0, nat = 12, ntyp = 4
/
ATOMIC_SPECIES
Ti 47.87 Ti.upf
Ga 69.72 Ga.upf
Ni 58.69 Ni.upf
Pt 195.08 Pt.upf
CELL_PARAMETERS angstrom
2.569 -2.579 0.000
2.569 2.579 0.000
0.000 0.000 11.735
ATOMIC_POSITIONS angstrom
Ti 0.000 0.000 0.000
Ga 0.000 0.000 3.657
Ga 0.000 0.000 8.078
Ni 1.284 1.290 1.764
Ni 1.284 1.290 9.971
Ni 2.569 1.338 5.867
Ni 1.284 -1.290 1.764
Ni 1.284 -1.290 9.971
Ni 2.569 0.000 0.000
Ni 2.569 -1.338 5.867
Pt 2.569 0.000 3.707
Pt 2.569 0.000 8.028

=====

Energy of formation for the records above, in order: -0.68, -0.30 eV per atom
DOS at the Fermi energy for the records above, in order: 0.736, 1.113 states/eV/atom
Energy for the records above, in order: -57.1, -70.1 eV per formula unit